No. 1
VASP calculation (PBE) on a geometry-optimized Pm3PrSmDy structure.

The structure in CIF format:
```
data_Pm3PrSmDy
_space_group_name_H-M_alt 'P 1 21/m 1'
_space_group_IT_number 11
_cell_length_a 8.128
_cell_length_b 5.156
_cell_length_c 10.286
_cell_angle_alpha 90.00
_cell_angle_beta 108.51
_cell_angle_gamma 90.00
loop_
_space_group_symop_operation_xyz
'x,y,z'
'-x,-y,-z'
'-x,y+1/2,-z'
'x,-y+1/2,z'
loop_
_atom_site_label
_atom_site_type_symbol
_atom_site_fract_x
_atom_site_fract_y
_atom_site_fract_z
Pm1 Pm 0.168 0.250 0.042
Pm2 Pm 0.169 0.750 0.791
Pm3 Pm 0.170 0.250 0.542
Pr1 Pr 0.168 0.750 0.293
Sm1 Sm 0.500 0.250 0.874
Dy1 Dy 0.500 0.250 0.376
```

Calculated values
The value obtained for the formation energy is 0.02 eV per atom.

***

No. 2
VASP calculation (PBE) on a geometry-optimized La4As5 structure.

The structure in CIF format:
```
data_La4As5
_space_group_name_H-M_alt 'P 63/m c m'
_space_group_IT_number 193
_space_group_name_Hall '-P 6c 2'
_cell_length_a 9.2508
_cell_length_b 9.2508
_cell_length_c 6.2854
_cell_angle_alpha 90.00
_cell_angle_beta 90.00
_cell_angle_gamma 120.00
loop_
_atom_site_label
_atom_site_type_symbol
_atom_site_fract_x
_atom_site_fract_y
_atom_site_fract_z
La1 La 0.0000 0.0000 0.0000
La2 La 0.0000 0.3878 0.2500
As1 As 0.0000 0.2770 0.7500
As2 As 0.3333 0.6667 0.0000
```

Calculated values
As for the relative energy among the computed polymorphs: 0 kJ/mol of formula units. The value obtained for the formation energy is -1.19 eV per atom.

***

No. 3
VASP calculation (PBE) on a geometry-optimized Rb5Na2Hg2 structure.

The structure in CIF format:
```
data_Rb5Na2Hg2
_space_group_name_H-M_alt 'I m a 2'
_space_group_IT_number 46
_cell_length_a 21.385
_cell_length_b 11.916
_cell_length_c 8.117
_cell_angle_alpha 90.00
_cell_angle_beta 90.00
_cell_angle_gamma 90.00
loop_
_space_group_symop_operation_xyz
'x,y,z'
'-x,-y,z'
'-x+1/2,y,z'
'x+1/2,-y,z'
'x+1/2,y+1/2,z+1/2'
'-x+1/2,-y+1/2,z+1/2'
'-x,y+1/2,z+1/2'
'x,-y+1/2,z+1/2'
loop_
_atom_site_label
_atom_site_type_symbol
_atom_site_fract_x
_atom_site_fract_y
_atom_site_fract_z
Rb1 Rb 0.074 0.213 0.000
Rb2 Rb 0.146 0.626 0.686
Rb3 Rb 0.250 0.052 0.688
Na1 Na 0.071 0.567 0.162
Hg1 Hg 0.000 0.000 0.330
Hg2 Hg 0.250 0.136 0.219
```

Calculated values
The value obtained for the formation energy is -0.06 eV per atom.